#P
Density functional theory data (GGA-PBE) for crystalline KAcAg at its relaxed geometry.

a = 4.0958 Å, b = 4.0958 Å, c = 15.9546 Å
α = 104.71°, β = 104.71°, γ = 89.97°
Closest atoms and distances in Å follow each position.
Fractional positions:
K 0.6067 0.6067 0.3621  4 Ag 3.76-3.77, 1 Ac 4.03, 4 K 4.10
K 0.3933 0.3933 0.6379  4 Ag 3.76-3.77, 1 Ac 4.03, 4 K 4.10
Ac 0.6599 0.6599 0.9085  4 Ag 3.32
Ac 0.3401 0.3401 0.0915  4 Ag 3.32
Ag 0.0525 0.0525 0.7994  4 Ac 3.32
Ag 0.9475 0.9475 0.2006  4 Ac 3.32

Output
Its space-group type is No. 12. The total moment comes out at 0.13 μB/f.u.

***

#Q
Density functional theory data (GGA-PBE) for crystalline KAcAg at its relaxed geometry.

a = 3.9652 Å, b = 3.9652 Å, c = 8.3050 Å
α = 103.81°, β = 103.81°, γ = 90.00°
Closest atoms and distances in Å follow each position.
Fractional positions:
K 0.0287 0.0287 0.0574  4 Ag 3.69, 4 K 3.97, 1 Ac 4.07
Ag 0.6821 0.6821 0.3642  4 Ac 3.27
Ac 0.2892 0.2892 0.5784  4 Ag 3.27

Output
Its space-group type is No. 107. The total moment comes out at 0.00 μB/f.u.

***

The most stable of them is #P.

***

#P
Density functional theory data (GGA-PBE) for crystalline Ac2LaAg6 at its relaxed geometry.

a = 3.9789 Å, b = 8.3724 Å, c = 8.3724 Å
α = 120.00°, β = 90.00°, γ = 90.00°
Closest atoms and distances in Å follow each position.
Fractional positions:
Ac 0.0000 0.6667 0.3333  12 Ag 3.43
Ac 0.0000 0.3333 0.6667  12 Ag 3.43
Ag 0.5000 0.0000 0.6684  3 Ag 2.78-2.82
Ag 0.5000 0.0000 0.3316  3 Ag 2.78-2.82
Ag 0.5000 0.6684 0.0000  3 Ag 2.78-2.82
Ag 0.5000 0.3316 0.0000  3 Ag 2.78-2.82
Ag 0.5000 0.3316 0.3316  3 Ag 2.78-2.82
Ag 0.5000 0.6684 0.6684  3 Ag 2.78-2.82
La 0.0000 0.0000 0.0000  12 Ag 3.42

Output
Its space-group type is No. 191. The total moment comes out at 0.00 μB/f.u.

***

#Q
Density functional theory data (GGA-PBE) for crystalline Ac2LaAg6 at its relaxed geometry.

a = 3.9099 Å, b = 8.9304 Å, c = 8.9304 Å
α = 54.69°, β = 77.35°, γ = 77.35°
Closest atoms and distances in Å follow each position.
Fractional positions:
La 0.5000 0.5000 0.5000  12 Ag 3.26-3.54
Ag 0.8319 0.4942 0.8420  2 Ag 2.84-2.85
Ag 0.0000 0.8178 0.1822  3 Ag 2.84-2.99
Ag 0.1681 0.1580 0.5058  2 Ag 2.84-2.85
Ag 0.8319 0.8420 0.4942  2 Ag 2.84-2.85
Ag 0.0000 0.1822 0.8178  3 Ag 2.84-2.99
Ag 0.1681 0.5058 0.1580  2 Ag 2.84-2.85
Ac 0.3568 0.1432 0.1432  10 Ag 3.23-3.34
Ac 0.6432 0.8568 0.8568  10 Ag 3.23-3.34

Output
Its space-group type is No. 71. The total moment comes out at 0.00 μB/f.u.

***

The most stable of them is #P.

***

#P
Density functional theory data (GGA-PBE) for crystalline AcLa2Ag6 at its relaxed geometry.

a = 3.7784 Å, b = 8.4240 Å, c = 8.4240 Å
α = 120.00°, β = 90.00°, γ = 90.00°
Closest atoms and distances in Å follow each position.
Fractional positions:
Ag 0.5000 0.0000 0.6648  3 Ag 2.78-2.82
Ag 0.5000 0.6648 0.6648  3 Ag 2.78-2.82
Ag 0.5000 0.6648 0.0000  3 Ag 2.78-2.82
Ag 0.5000 0.3352 0.0000  3 Ag 2.78-2.82
Ag 0.5000 0.3352 0.3352  3 Ag 2.78-2.82
Ag 0.5000 0.0000 0.3352  3 Ag 2.78-2.82
La 0.0000 0.6667 0.3333  12 Ag 3.38, 2 La 3.78
La 0.0000 0.3333 0.6667  12 Ag 3.38, 2 La 3.78
Ac 0.0000 0.0000 0.0000  12 Ag 3.40, 2 Ac 3.78

Output
Its space-group type is No. 191. The total moment comes out at 0.00 μB/f.u.

***

#Q
Density functional theory data (GGA-PBE) for crystalline AcLa2Ag6 at its relaxed geometry.

a = 3.8840 Å, b = 8.7728 Å, c = 8.7728 Å
α = 55.24°, β = 77.21°, γ = 77.21°
Closest atoms and distances in Å follow each position.
Fractional positions:
Ag 0.0000 0.8228 0.1772  3 Ag 2.87-2.88
Ag 0.1750 0.5068 0.1433  4 Ag 2.87-3.18, 1 La 3.14
Ag 0.8250 0.8567 0.4932  4 Ag 2.87-3.18, 1 La 3.14
Ag 0.0000 0.1772 0.8228  3 Ag 2.87-2.88
Ag 0.1750 0.1433 0.5068  4 Ag 2.87-3.18, 1 La 3.14
Ag 0.8250 0.4932 0.8567  4 Ag 2.87-3.18, 1 La 3.14
Ac 0.5000 0.5000 0.5000  12 Ag 3.27-3.59
La 0.6412 0.8588 0.8588  10 Ag 3.14-3.28
La 0.3588 0.1412 0.1412  10 Ag 3.14-3.28

Output
Its space-group type is No. 71. The total moment comes out at 0.00 μB/f.u.

***

The most stable of them is #P.

***

#P
Density functional theory data (GGA-PBE) for crystalline AcLaAg2 at its relaxed geometry.

a = 4.3963 Å, b = 4.3963 Å, c = 8.3716 Å
α = 74.78°, β = 74.78°, γ = 60.00°
Closest atoms and distances in Å follow each position.
Fractional positions:
Ac 0.4976 0.4976 0.5071  6 Ag 3.24-3.32
Ag 0.0803 0.0803 0.7591  3 La 3.16, 3 Ac 3.24
Ag 0.2535 0.2535 0.2396  3 La 3.21, 3 Ac 3.32
La 0.6686 0.6686 0.9942  6 Ag 3.16-3.21

Output
Its space-group type is No. 160. The total moment comes out at 0.00 μB/f.u.

***

#Q
Density functional theory data (GGA-PBE) for crystalline AcLaAg2 at its relaxed geometry.

a = 3.9040 Å, b = 3.9040 Å, c = 7.7357 Å
α = 90.00°, β = 90.00°, γ = 90.00°
Closest atoms and distances in Å follow each position.
Fractional positions:
Ac 0.5000 0.5000 0.5000  8 Ag 3.44
Ag 0.0000 0.0000 0.2351  4 La 3.31, 4 Ac 3.44, 1 Ag 3.64
Ag 0.0000 0.0000 0.7649  4 La 3.31, 4 Ac 3.44, 1 Ag 3.64
La 0.5000 0.5000 0.0000  8 Ag 3.31

Output
Its space-group type is No. 123. The total moment comes out at 0.00 μB/f.u.

***

#R
Density functional theory data (GGA-PBE) for crystalline AcLaAg2 at its relaxed geometry.

a = 5.5108 Å, b = 5.5108 Å, c = 5.5108 Å
α = 60.00°, β = 60.00°, γ = 60.00°
Closest atoms and distances in Å follow each position.
Fractional positions:
Ac 0.0000 0.0000 0.0000  8 Ag 3.37
Ag 0.2500 0.2500 0.2500  4 La 3.37, 4 Ac 3.37
Ag 0.7500 0.7500 0.7500  4 La 3.37, 4 Ac 3.37
La 0.5000 0.5000 0.5000  8 Ag 3.37

Output
Its space-group type is No. 225. The total moment comes out at 0.00 μB/f.u.

***

The most stable of them is #Q.

***

#P
Density functional theory data (GGA-PBE) for crystalline AcLaAg3 at its relaxed geometry.

a = 3.9694 Å, b = 4.8942 Å, c = 14.5456 Å
α = 90.00°, β = 97.84°, γ = 90.00°
Closest atoms and distances in Å follow each position.
Fractional positions:
Ag 0.3794 0.2500 0.7588  3 Ag 2.80-2.91
Ag 0.3246 0.7500 0.6492  2 Ag 2.91
Ag 0.6754 0.2500 0.3508  2 Ag 2.91
Ag 0.5236 0.7500 0.0471  3 Ag 2.80
Ag 0.4764 0.2500 0.9529  3 Ag 2.80
Ag 0.6206 0.7500 0.2412  3 Ag 2.80-2.91
Ac 0.0738 0.2500 0.1476  12 Ag 3.43-3.54
Ac 0.9262 0.7500 0.8524  12 Ag 3.43-3.54
La 0.2071 0.7500 0.4142  7 Ag 3.19-3.39
La 0.7929 0.2500 0.5858  7 Ag 3.19-3.39

Output
Its space-group type is No. 63. The total moment comes out at 0.00 μB/f.u.

***

#Q
Density functional theory data (GGA-PBE) for crystalline AcLaAg3 at its relaxed geometry.

a = 4.8860 Å, b = 3.8866 Å, c = 14.8301 Å
α = 97.53°, β = 90.00°, γ = 90.00°
Closest atoms and distances in Å follow each position.
Fractional positions:
Ac 0.2500 0.7949 0.5898  6 Ag 3.27-3.31
Ac 0.7500 0.2051 0.4102  6 Ag 3.27-3.31
Ag 0.2500 0.6675 0.3349  2 Ag 2.88
Ag 0.7500 0.6156 0.2312  3 Ag 2.75-2.88
Ag 0.7500 0.3325 0.6651  2 Ag 2.88
Ag 0.2500 0.4779 0.9558  3 Ag 2.75-2.77
Ag 0.7500 0.5221 0.0442  3 Ag 2.75-2.77
Ag 0.2500 0.3844 0.7688  3 Ag 2.75-2.88
La 0.7500 0.9300 0.8601  12 Ag 3.33-3.46
La 0.2500 0.0700 0.1399  12 Ag 3.33-3.46

Output
Its space-group type is No. 63. The total moment comes out at 0.00 μB/f.u.

***

The most stable of them is #P.

***

#P
Density functional theory data (GGA-PBE) for crystalline AcLa3Ag at its relaxed geometry.

a = 3.8856 Å, b = 7.0807 Å, c = 13.2366 Å
α = 87.54°, β = 89.96°, γ = 74.05°
Closest atoms and distances in Å follow each position.
Fractional positions:
La 0.8639 0.2716 0.5434  4 Ag 3.29-3.32
La 0.6340 0.7304 0.9749  9 La 3.69-3.89, 3 Ac 3.89-4.14
La 0.9625 0.0759 0.8091  2 Ag 3.30, 1 La 3.69
La 0.1361 0.7284 0.4566  4 Ag 3.29-3.32
La 0.3660 0.2696 0.0251  9 La 3.69-3.89, 3 Ac 3.89-4.14
La 0.0375 0.9241 0.1909  2 Ag 3.30, 1 La 3.69
Ac 0.2237 0.5512 0.7418  2 Ag 3.39, 1 La 3.72
Ac 0.7763 0.4488 0.2582  2 Ag 3.39, 1 La 3.72
Ag 0.5465 0.9070 0.6309  6 La 3.29-3.32, 2 Ac 3.39, 1 Ag 3.64
Ag 0.4535 0.0930 0.3691  6 La 3.29-3.32, 2 Ac 3.39, 1 Ag 3.64

Output
Its space-group type is No. 2. The total moment comes out at 0.00 μB/f.u.

***

#Q
Density functional theory data (GGA-PBE) for crystalline AcLa3Ag at its relaxed geometry.

a = 5.3971 Å, b = 9.0138 Å, c = 7.4204 Å
α = 90.00°, β = 90.00°, γ = 107.41°
Closest atoms and distances in Å follow each position.
Fractional positions:
La 0.8878 0.2758 0.9937  6 La 3.59-3.86, 3 Ag 3.65-3.67, 4 Ac 3.72-3.90
La 0.1122 0.7242 0.0063  6 La 3.59-3.86, 3 Ag 3.65-3.67, 4 Ac 3.72-3.90
La 0.1122 0.7242 0.4937  6 La 3.59-3.86, 3 Ag 3.65-3.67, 4 Ac 3.72-3.90
La 0.7113 0.9217 0.2500  2 Ag 3.08-3.09
La 0.8878 0.2758 0.5063  6 La 3.59-3.86, 3 Ag 3.65-3.67, 4 Ac 3.72-3.90
La 0.2887 0.0783 0.7500  2 Ag 3.08-3.09
Ac 0.4869 0.4746 0.2500  1 Ag 3.26
Ac 0.5131 0.5254 0.7500  1 Ag 3.26
Ag 0.7020 0.9044 0.7500  2 La 3.08-3.09, 1 Ac 3.26
Ag 0.2980 0.0956 0.2500  2 La 3.08-3.09, 1 Ac 3.26

Output
Its space-group type is No. 11. The total moment comes out at 0.00 μB/f.u.

***

The most stable of them is #P.